This record from OQMD describes crystalline Hf2TlMo at its relaxed geometry. The functional is PBE-GGA.

Cell lengths 3.443, 3.443, 6.893 Å; angles 90.00, 90.00, 90.00 degrees
Fractional coordinates of all 4 atoms:
Hf 0.000 0.000 0.219
Hf 0.000 0.000 0.781
Tl 0.500 0.500 0.500
Mo 0.500 0.500 0.000

Volume = 20.43 Å³/atom
Energy above the most stable polymorph in this dataset = 0.0 meV/atom
Density = 13.4 Mg/m³